# 1
Entry from Alexandria: an optimized crystal structure of AcMgOs (GGA-PBE).

The space group is Cmce (No. 64) and the conventional cell measures 6.343, 12.754 and 7.743 Å, with angles of 90.00, 90.00 and 90.00 degrees. Symmetry generates all atoms from Ac at (0.000, 0.193, 0.113), Mg at (0.250, 0.042, 0.750) and Os at (0.000, 0.095, 0.474).

The calculation puts the total energy at -5.56 eV/atom. The density of states at the Fermi level comes out at 0.9010 states/eV/atom. The crystal system is orthorhombic.

---

# 2
Entry from Alexandria: an optimized crystal structure of Ac3MgOs (GGA-PBE).

The space group is Pm-3m (No. 221) and the conventional cell measures 5.834, 5.834 and 5.834 Å, with angles of 90.00, 90.00 and 90.00 degrees. Symmetry generates all atoms from Ac at (0.000, 0.000, 0.500), Mg at (0.500, 0.500, 0.500) and Os at (0.000, 0.000, 0.000).

The calculation puts the total energy at -5.01 eV/atom. The energy above the most stable polymorph in this dataset comes out at 0.019 eV per atom. The density of states at the Fermi level comes out at 0.9463 states/eV/atom. The crystal system is cubic.

---

# 3
Entry from Alexandria: an optimized crystal structure of AcPrMgOs (GGA-PBE).

The space group is F-43m (No. 216) and the conventional cell measures 7.524, 7.524 and 7.524 Å, with angles of 90.00, 90.00 and 90.00 degrees. Symmetry generates all atoms from Ac at (0.000, 0.000, 0.000), Pr at (0.000, 0.000, 0.500), Mg at (0.250, 0.250, 0.750) and Os at (0.250, 0.250, 0.250).

The calculation puts the total energy at -5.29 eV/atom. The density of states at the Fermi level comes out at 1.1950 states/eV/atom. The crystal system is cubic.

---

# 4
Entry from Alexandria: an optimized crystal structure of AcMgSi2Os (GGA-PBE).

The space group is I-4m2 (No. 119) and the conventional cell measures 4.249, 4.249 and 11.069 Å, with angles of 90.00, 90.00 and 90.00 degrees. Symmetry generates all atoms from Ac at (0.000, 0.000, 0.000), Mg at (0.000, 0.500, 0.750), Si at (0.000, 0.000, 0.376) and Os at (0.000, 0.500, 0.250).

For the uncorrected formation energy, the calculation gives -8.71 kcal/mol of atoms. The calculation puts the total energy at -5.93 eV/atom. The density of states at the Fermi level comes out at 0.9011 states/eV/atom. The crystal system is tetragonal.

---

# 5
Entry from Alexandria: an optimized crystal structure of AcSmMgOs (GGA-PBE).

The space group is F-43m (No. 216) and the conventional cell measures 7.457, 7.457 and 7.457 Å, with angles of 90.00, 90.00 and 90.00 degrees. Symmetry generates all atoms from Ac at (0.000, 0.000, 0.000), Sm at (0.000, 0.000, 0.500), Mg at (0.250, 0.250, 0.250) and Os at (0.250, 0.250, 0.750).

The calculation puts the total energy at -5.30 eV/atom. The density of states at the Fermi level comes out at 1.1426 states/eV/atom. The crystal system is cubic.

---

# 6
Entry from Alexandria: an optimized crystal structure of AcTmMgOs (GGA-PBE).

The space group is F-43m (No. 216) and the conventional cell measures 7.344, 7.344 and 7.344 Å, with angles of 90.00, 90.00 and 90.00 degrees. Symmetry generates all atoms from Ac at (0.000, 0.000, 0.000), Tm at (0.000, 0.000, 0.500), Mg at (0.250, 0.250, 0.750) and Os at (0.250, 0.250, 0.250).

The calculation puts the total energy at -5.28 eV/atom. The density of states at the Fermi level comes out at 1.0900 states/eV/atom. The crystal system is cubic.